[1]
Compound: ScUGa2
Source: Alexandria via LeMat-Bulk
Functional: PBE
Structure: optimized geometry

Cell and atoms, written as CIF:
```
data_ScUGa2
_cell_length_a 2.896
_cell_length_b 2.896
_cell_length_c 8.954
_cell_angle_alpha 90.00
_cell_angle_beta 90.00
_cell_angle_gamma 90.00
_space_group_name_H-M_alt 'P 4/m m m'
_space_group_IT_number 123
_space_group_name_Hall '-P 4 2'
loop_
_atom_site_label
_atom_site_type_symbol
_atom_site_fract_x
_atom_site_fract_y
_atom_site_fract_z
_atom_site_occupancy
Sc1 Sc 0.000 0.000 0.000 1
U1 U 0.000 0.000 0.500 1
Ga1 Ga 0.500 0.500 0.237 1
```

## Properties
VASP energy   -6.232 eV/atom
Crystal system   tetragonal
V   75.1 Å³/cell
D(E_F)   5.09 states/eV/f.u.
Energy above the most stable polymorph in this dataset   0 meV/atom

---

[2]
Compound: ScUGa2
Source: Alexandria via LeMat-Bulk
Functional: PBE
Structure: optimized geometry

Cell and atoms, written as CIF:
```
data_ScUGa2
_cell_length_a 5.313
_cell_length_b 5.313
_cell_length_c 2.852
_cell_angle_alpha 90.00
_cell_angle_beta 90.00
_cell_angle_gamma 90.00
_space_group_name_H-M_alt 'P 4/m m m'
_space_group_IT_number 123
_space_group_name_Hall '-P 4 2'
loop_
_atom_site_label
_atom_site_type_symbol
_atom_site_fract_x
_atom_site_fract_y
_atom_site_fract_z
_atom_site_occupancy
Sc1 Sc 0.000 0.000 0.000 1
U1 U 0.500 0.500 0.000 1
Ga1 Ga 0.000 0.500 0.500 1
```

## Properties
VASP energy   -6.167 eV/atom
Crystal system   tetragonal
V   80.5 Å³/cell
D(E_F)   5.56 states/eV/f.u.
Energy above the most stable polymorph in this dataset   65 meV/atom

---

[3]
Compound: ScV2Ga4
Source: Alexandria via LeMat-Bulk
Functional: PBE
Structure: optimized geometry

Cell and atoms, written as CIF:
```
data_ScV2Ga4
_cell_length_a 5.189
_cell_length_b 6.486
_cell_length_c 6.509
_cell_angle_alpha 90.00
_cell_angle_beta 90.00
_cell_angle_gamma 90.00
_space_group_name_H-M_alt 'I m m m'
_space_group_IT_number 71
_space_group_name_Hall '-I 2 2'
loop_
_atom_site_label
_atom_site_type_symbol
_atom_site_fract_x
_atom_site_fract_y
_atom_site_fract_z
_atom_site_occupancy
Sc1 Sc 0.000 0.000 0.000 1
V1 V 0.249 0.500 0.000 1
Ga1 Ga 0.000 0.300 0.300 1
```

## Properties
VASP energy   -5.641 eV/atom
Crystal system   orthorhombic
V   219.0 Å³/cell
D(E_F)   3.53 states/eV/f.u.

---

Question: Which formula does entry 1 have?
Answer: ScUGa2

---

Question: The highest V belongs to which entry?
Answer: ScV2Ga4

---

Question: Which of these has the lowest VASP energy?
Answer: number 1